(1)
Er4NiB13 | meta-GGA SCAN | single point on PBEsol structure

POSCAR file:
```
Er4NiB13
1.0
6.735 0.000 0.000
0.000 7.238 0.000
0.000 0.000 7.238
Ni B Er
2 26 8
Direct
0.000 0.000 0.000 Ni
0.500 0.500 0.500 Ni
0.243 0.671 0.460 B
0.250 0.409 0.091 B
0.743 0.829 0.960 B
0.757 0.460 0.329 B
0.000 0.500 0.500 B
0.250 0.909 0.409 B
0.257 0.829 0.960 B
0.257 0.960 0.171 B
0.257 0.040 0.829 B
0.743 0.040 0.829 B
0.243 0.329 0.540 B
0.750 0.091 0.591 B
0.743 0.960 0.171 B
0.250 0.091 0.591 B
0.500 0.000 0.000 B
0.243 0.540 0.671 B
0.750 0.409 0.091 B
0.250 0.591 0.909 B
0.750 0.909 0.409 B
0.757 0.329 0.540 B
0.757 0.671 0.460 B
0.243 0.460 0.329 B
0.750 0.591 0.909 B
0.257 0.171 0.040 B
0.743 0.171 0.040 B
0.757 0.540 0.671 B
0.000 0.815 0.681 Er
0.000 0.681 0.185 Er
0.500 0.685 0.181 Er
0.000 0.319 0.815 Er
0.500 0.181 0.315 Er
0.500 0.819 0.685 Er
0.000 0.185 0.319 Er
0.500 0.315 0.819 Er
```

Results
magnetic moment: 0.000 μB/f.u.
E_form: -571 meV per atom
theoretical density: 8.2 Mg/m³
SG: No. 128
total energy: -18.02 eV/atom

***

(2)
ErNiB4 | meta-GGA SCAN | single point on PBEsol structure

POSCAR file:
```
ErNiB4
1.0
-0.192 -1.060 3.161
5.832 -0.325 0.246
0.446 10.742 3.630
Er Ni B
4 4 16
Direct
0.000 0.627 0.350 Er
0.000 0.373 0.650 Er
0.000 0.127 0.150 Er
0.000 0.873 0.850 Er
0.000 0.634 0.088 Ni
0.000 0.366 0.912 Ni
0.000 0.134 0.412 Ni
0.000 0.866 0.588 Ni
0.500 0.785 0.185 B
0.500 0.215 0.815 B
0.500 0.285 0.315 B
0.500 0.715 0.685 B
0.500 0.863 0.034 B
0.500 0.137 0.966 B
0.500 0.363 0.466 B
0.500 0.637 0.534 B
0.500 0.886 0.453 B
0.500 0.114 0.547 B
0.500 0.386 0.047 B
0.500 0.614 0.953 B
0.500 0.979 0.308 B
0.500 0.021 0.692 B
0.500 0.479 0.192 B
0.500 0.521 0.808 B
```

Results
magnetic moment: 0.000 μB/f.u.
E_form: -621 meV per atom
excess energy over the best structure of this formula in the dataset: 0.019 eV per atom
theoretical density: 8.1 Mg/m³
SG: No. 55
total energy: -16.66 eV/atom